[1]
## SiTe (PBE)

Data for crystalline SiTe at its relaxed geometry. Values from VASP.

```
&SYSTEM
  ibrav = 0, nat = 6, ntyp = 2
/
ATOMIC_SPECIES
Si 28.09 Si.upf
Te 127.60 Te.upf
CELL_PARAMETERS angstrom
0.1482 0.7207 6.1779
-1.0189 -5.6265 -2.4519
4.4195 -0.7945 -0.0133
ATOMIC_POSITIONS crystal
Si 0.5000 0.5000 0.0000
Si 0.0000 0.5000 0.0000
Si 0.5000 0.0000 0.0000
Te 0.3333 0.6667 0.5000
Te 0.0000 0.0000 0.0000
Te 0.6667 0.3333 0.5000
```

Properties
DOS at the Fermi energy = 3.93 states/eV/cell
Volume = 50.2 Å³/f.u.
Theoretical density = 5.15 g/cm3
Electronic total energy = -22.78 eV/cell
Space-group type = No. 191
M_tot = 0.00 μB/atom
ΔE_f (raw) = 0.97 eV/f.u.


[2]
## AcSmIr (PBE)

Data for crystalline AcSmIr at its relaxed geometry. Values from VASP.

```
&SYSTEM
  ibrav = 0, nat = 6, ntyp = 3
/
ATOMIC_SPECIES
Ir 192.22 Ir.upf
Sm 150.36 Sm.upf
Ac 227.00 Ac.upf
CELL_PARAMETERS angstrom
4.8752 -0.2317 -0.0546
0.2367 5.1408 -0.7467
0.0358 -0.9820 7.4340
ATOMIC_POSITIONS crystal
Ir 0.8136 0.9889 0.1349
Ir 0.3136 0.2440 0.7043
Sm 0.8136 0.3945 0.9453
Sm 0.3136 0.8384 0.8940
Ac 0.3136 0.3303 0.3271
Ac 0.8136 0.9027 0.5121
```

Properties
DOS at the Fermi energy = 4.56 states/eV/cell
Volume = 91.6 Å³/f.u.
Theoretical density = 10.33 g/cm3
Electronic total energy = -38.71 eV/cell
Space-group type = No. 11
Relative energy among the computed polymorphs = 0 meV/atom
M_tot = 0.00 μB/atom


[3]
## DyErGe (PBE)

Data for crystalline DyErGe at its relaxed geometry. Values from VASP.

```
&SYSTEM
  ibrav = 0, nat = 3, ntyp = 3
/
ATOMIC_SPECIES
Dy 162.50 Dy.upf
Ge 72.64 Ge.upf
Er 167.26 Er.upf
CELL_PARAMETERS angstrom
-1.9130 0.9673 4.3555
-4.7454 0.9362 0.4131
-2.9338 -3.2261 2.1332
ATOMIC_POSITIONS crystal
Dy 0.5000 0.5000 0.5000
Ge 0.2500 0.2500 0.2500
Er 0.0000 0.0000 0.0000
```

Properties
DOS at the Fermi energy = 2.69 states/eV/cell
Volume = 80.9 Å³/f.u.
Theoretical density = 8.26 g/cm3
Electronic total energy = -15.37 eV/cell
Space-group type = No. 216
Relative energy among the computed polymorphs = 83 meV/atom
M_tot = 0.00 μB/atom


[4]
## BaGaAg2F6 (PBE)

Data for crystalline BaGaAg2F6 at its relaxed geometry. Values from VASP.

```
&SYSTEM
  ibrav = 0, nat = 20, ntyp = 4
/
ATOMIC_SPECIES
F 19.00 F.upf
Ba 137.33 Ba.upf
Ag 107.87 Ag.upf
Ga 69.72 Ga.upf
CELL_PARAMETERS angstrom
-2.7598 -1.9951 4.9488
2.1626 -6.4551 -1.3963
6.3560 1.2537 4.0489
ATOMIC_POSITIONS crystal
F 0.7686 0.8478 0.5000
F 0.3642 0.8462 0.6835
F 0.1358 0.3462 0.1836
F 0.6358 0.1538 0.6836
F 0.6358 0.1538 0.3165
F 0.8642 0.6538 0.1835
F 0.1358 0.3462 0.8165
F 0.3642 0.8462 0.3164
F 0.8642 0.6538 0.8164
F 0.2314 0.1522 0.5000
F 0.2686 0.6522 0.0000
F 0.7314 0.3478 0.0000
Ba 0.5000 0.0000 0.0000
Ba 0.0000 0.5000 0.5000
Ag 0.5000 0.5000 0.3093
Ag 0.5000 0.5000 0.6907
Ag 0.0000 0.0000 0.1907
Ag 0.0000 0.0000 0.8093
Ga 0.0000 0.5000 0.0000
Ga 0.5000 0.0000 0.5000
```

Properties
DOS at the Fermi energy = 2.96 states/eV/cell
Volume = 159.5 Å³/f.u.
Theoretical density = 5.59 g/cm3
Electronic total energy = -87.68 eV/cell
Space-group type = No. 58
M_tot = 0.00 μB/atom
ΔE_f (raw) = -21.96 eV/f.u.


[5]
## ThTlPd (PBE)

Data for crystalline ThTlPd at its relaxed geometry. Values from VASP.

```
&SYSTEM
  ibrav = 0, nat = 6, ntyp = 3
/
ATOMIC_SPECIES
Pd 106.42 Pd.upf
Th 232.04 Th.upf
Tl 204.38 Tl.upf
CELL_PARAMETERS angstrom
3.8346 0.0000 0.0000
0.0000 5.6015 0.0000
0.0000 0.0000 7.2010
ATOMIC_POSITIONS crystal
Pd 0.0000 0.5000 0.0000
Pd 0.0000 0.0000 0.0000
Th 0.5000 0.7500 0.7483
Th 0.5000 0.2500 0.2517
Tl 0.0000 0.2500 0.6472
Tl 0.0000 0.7500 0.3528
```

Properties
DOS at the Fermi energy = 5.42 states/eV/cell
Volume = 77.3 Å³/f.u.
Theoretical density = 11.66 g/cm3
Electronic total energy = -32.24 eV/cell
Space-group type = No. 51
M_tot = 0.00 μB/atom


[6]
## MnCd6Pd12 (PBE)

Data for crystalline MnCd6Pd12 at its relaxed geometry. Values from VASP.

```
&SYSTEM
  ibrav = 0, nat = 19, ntyp = 3
/
ATOMIC_SPECIES
Pd 106.42 Pd.upf
Cd 112.41 Cd.upf
Mn 54.94 Mn.upf
CELL_PARAMETERS angstrom
6.9944 0.7703 0.9228
-0.2990 7.0303 0.9228
-0.2990 -0.3484 7.0821
ATOMIC_POSITIONS crystal
Pd 0.0200 0.3398 0.1070
Pd 0.1470 0.6350 0.5407
Pd 0.6350 0.5407 0.1470
Pd 0.5407 0.1470 0.6350
Pd 0.8930 0.9800 0.6602
Pd 0.6602 0.8930 0.9800
Pd 0.4593 0.8530 0.3650
Pd 0.8530 0.3650 0.4593
Pd 0.3650 0.4593 0.8530
Pd 0.1070 0.0200 0.3398
Pd 0.3398 0.1070 0.0200
Pd 0.9800 0.6602 0.8930
Cd 0.2483 0.6501 0.1632
Cd 0.8368 0.7517 0.3499
Cd 0.1632 0.2483 0.6501
Cd 0.3499 0.8368 0.7517
Cd 0.6501 0.1632 0.2483
Cd 0.7517 0.3499 0.8368
Mn 0.0000 0.0000 0.0000
```

Properties
DOS at the Fermi energy = 7.15 states/eV/cell
Volume = 354.0 Å³/f.u.
Theoretical density = 9.41 g/cm3
Electronic total energy = -78.87 eV/cell
Space-group type = No. 148
M_tot = 0.25 μB/atom


Repeat the third record exactly.
## DyErGe (PBE)

Data for crystalline DyErGe at its relaxed geometry. Values from VASP.

```
&SYSTEM
  ibrav = 0, nat = 3, ntyp = 3
/
ATOMIC_SPECIES
Dy 162.50 Dy.upf
Ge 72.64 Ge.upf
Er 167.26 Er.upf
CELL_PARAMETERS angstrom
-1.9130 0.9673 4.3555
-4.7454 0.9362 0.4131
-2.9338 -3.2261 2.1332
ATOMIC_POSITIONS crystal
Dy 0.5000 0.5000 0.5000
Ge 0.2500 0.2500 0.2500
Er 0.0000 0.0000 0.0000
```

Properties
DOS at the Fermi energy = 2.69 states/eV/cell
Volume = 80.9 Å³/f.u.
Theoretical density = 8.26 g/cm3
Electronic total energy = -15.37 eV/cell
Space-group type = No. 216
Relative energy among the computed polymorphs = 83 meV/atom
M_tot = 0.00 μB/atom